(1)
Below is an optimized crystal structure of RbNdCd2Cl8, with properties calculated at the PBE level.

The structure belongs to space group P-1 (No. 2); the cell edges are 6.647, 6.674 and 9.364 Å and the angles 78.54°, 79.84° and 79.63°. The distinct sites, in fractional coordinates, are Rb at (0.000, 0.000, 0.000), Nd at (0.000, 0.000, 0.500), Cd at (0.459, 0.447, 0.215), Cl at (0.172, 0.731, 0.728), Cl at (0.226, 0.785, 0.287), Cl at (0.299, 0.248, 0.462) and Cl at (0.358, 0.302, 0.010).

As for the energy relative to the elements, uncorrected: -1.597 eV per atom. As for the total magnetization: 0.0 μB/cell. The total energy comes out at -3.4585 eV/atom.

(2)
Below is an optimized crystal structure of ScTaAs2, with properties calculated at the PBE level.

The structure belongs to space group P2/m (No. 10); the cell edges are 3.252, 3.376 and 6.674 Å and the angles 90.00°, 98.40° and 90.00°. The distinct sites, in fractional coordinates, are Sc at (0.000, 0.000, 0.000), Ta at (0.000, 0.000, 0.500) and As at (0.448, 0.500, 0.274).

As for the total magnetization: 0.0 μB/cell. As for the polymorph energy (0 for the lowest one): 292 meV per atom. The total energy comes out at -7.4556 eV/atom. The formation energy is -2.34 eV per formula unit.